Sm4SbOs (PBE, optimized geometry); raw formation energy = -0.452 eV/atom; SG = No. 11; distance to the lowest polymorph of the same formula = 38 meV per atom
1.0
5.860 0.000 -2.059
0.000 6.645 0.000
-0.234 0.000 8.960
Sm Os Sb
8 2 2
Direct
0.567 0.250 0.407 Sm
0.989 0.000 0.291 Sm
0.011 0.500 0.709 Sm
0.433 0.750 0.593 Sm
0.011 0.000 0.709 Sm
0.401 0.750 0.119 Sm
0.989 0.500 0.291 Sm
0.599 0.250 0.881 Sm
0.264 0.250 0.570 Os
0.736 0.750 0.430 Os
0.788 0.750 0.952 Sb
0.212 0.250 0.048 Sb